[1]
Density functional theory data (PBE) for an optimized crystal structure of Rb2LaGaF6.

Results
The crystal system is cubic. For the uncorrected formation energy, the calculation gives -3.006 eV per atom. Its space-group type is No. 225.

a b c (Å): 6.817 6.817 6.818
angles (deg): 60.00 60.00 90.00
Fractional positions:
F 0.240 0.240 0.000
F 0.240 0.240 0.520
F 0.760 0.240 0.000
F 0.760 0.760 0.480
F 0.240 0.760 0.000
F 0.760 0.760 0.000
La 0.000 0.000 0.000
Rb 0.250 0.750 0.500
Rb 0.750 0.250 0.500
Ga 0.500 0.500 0.000

[2]
Density functional theory data (PBE) for an optimized crystal structure of CaW3S.

Results
The crystal system is cubic. For the uncorrected formation energy, the calculation gives 0.798 eV per atom. Its space-group type is No. 221. For the relative energy among the computed polymorphs, the calculation gives 0.00 eV per formula unit.

a b c (Å): 4.542 4.542 4.542
angles (deg): 90.00 90.00 90.00
Fractional positions:
S 0.000 0.000 0.000
Ca 0.500 0.500 0.500
W 0.500 0.000 0.000
W 0.000 0.500 0.000
W 0.000 0.000 0.500

[3]
Density functional theory data (PBE) for an optimized crystal structure of Ac2PmRh.

Results
The crystal system is trigonal. Its space-group type is No. 160. For the relative energy among the computed polymorphs, the calculation gives 0.48 eV per formula unit. The calculation puts the formation enthalpy at 0 K at -0.282 eV/atom.

a b c (Å): 4.145 4.145 10.024
angles (deg): 78.07 78.07 60.00
Last column: magnetic moment on the atom in μB.
Fractional positions:
Ac 0.060 0.060 0.821  0.03
Ac 0.274 0.274 0.178  0.03
Rh 0.666 0.666 0.001  0.02
Pm 0.500 0.500 0.500  0.17

[4]
Density functional theory data (PBE) for an optimized crystal structure of NaTiI2O.

Results
The crystal system is tetragonal. For the uncorrected formation energy, the calculation gives -1.385 eV per atom. Its space-group type is No. 123. For the relative energy among the computed polymorphs, the calculation gives 0.00 eV per formula unit.

a b c (Å): 5.855 5.855 3.809
angles (deg): 90.00 90.00 90.00
Last column: magnetic moment on the atom in μB.
Fractional positions:
O 0.000 0.000 0.500  -0.05
Ti 0.000 0.000 0.000  0.88
I 0.500 0.000 0.000  0.00
I 0.000 0.500 0.000  0.00
Na 0.500 0.500 0.500  0.00

[5]
Density functional theory data (PBE) for an optimized crystal structure of GdGa2Re.

Results
The crystal system is trigonal. Its space-group type is No. 166. The calculation puts the formation enthalpy at 0 K at 0.111 eV/atom.

a b c (Å): 3.066 3.066 9.365
angles (deg): 80.58 80.58 60.00
Last column: magnetic moment on the atom in μB.
Fractional positions:
Ga 0.261 0.261 0.216  -0.02
Ga 0.739 0.739 0.784  -0.02
Gd 0.500 0.500 0.500  7.17
Re 0.000 0.000 0.000  -0.01

[6]
Density functional theory data (PBE) for an optimized crystal structure of Ba3GaCu.

Results
The crystal system is cubic. Its space-group type is No. 221. For the relative energy among the computed polymorphs, the calculation gives 0.00 eV per formula unit. The calculation puts the formation enthalpy at 0 K at 0.139 eV/atom.

a b c (Å): 6.127 6.127 6.127
angles (deg): 90.00 90.00 90.00
Last column: magnetic moment on the atom in μB.
Fractional positions:
Ga 0.500 0.500 0.500  0.18
Ba 0.000 0.000 0.500  0.02
Ba 0.500 0.000 0.000  0.04
Ba 0.000 0.500 0.000  0.04
Cu 0.000 0.000 0.000  0.01

[7]
Density functional theory data (PBE) for an optimized crystal structure of YMgTc3.

Results
The crystal system is cubic. Its space-group type is No. 221. For the relative energy among the computed polymorphs, the calculation gives 3.20 eV per formula unit. The calculation puts the formation enthalpy at 0 K at 2.060 eV/atom.

a b c (Å): 4.857 4.857 4.857
angles (deg): 90.00 90.00 90.00
Last column: magnetic moment on the atom in μB.
Fractional positions:
Mg 0.500 0.500 0.500  -0.02
Tc 0.500 0.000 0.000  1.02
Tc 0.000 0.500 0.000  1.06
Tc 0.000 0.000 0.500  0.90
Y 0.000 0.000 0.000  -0.02

[8]
Density functional theory data (PBE) for an optimized crystal structure of Sc3ZnF.

Results
The crystal system is cubic. For the uncorrected formation energy, the calculation gives -0.935 eV per atom. Its space-group type is No. 221. For the relative energy among the computed polymorphs, the calculation gives 0.00 eV per formula unit.

a b c (Å): 4.452 4.452 4.452
angles (deg): 90.00 90.00 90.00
Fractional positions:
F 0.000 0.000 0.000
Sc 0.500 0.000 0.000
Sc 0.000 0.500 0.000
Sc 0.000 0.000 0.500
Zn 0.500 0.500 0.500

| no. | Fermi-level density of states (states/eV/cell) |
| --- | --- |
| 1 | 0.00 |
| 2 | 3.38 |
| 3 | 5.55 |
| 4 | 0.33 |
| 5 | 2.39 |
| 6 | 5.43 |
| 7 | 5.42 |
| 8 | 5.26 |